The following is a DFT calculation (GGA-PBE) of an optimized crystal structure of NdSmZnSb.

Lattice parameters (Å, degrees): 5.3286 5.3286 5.3286 60.00 60.00 60.00
Last column: nearest neighbours and their distance in Å.
Element x y z (fractional)
1 Sb 0.5000 0.5000 0.5000  4 Nd 3.26, 4 Sm 3.26
2 Zn 0.0000 0.0000 0.0000  4 Sm 3.26, 4 Nd 3.26
3 Nd 0.2500 0.2500 0.2500  4 Zn 3.26, 4 Sb 3.26
4 Sm 0.7500 0.7500 0.7500  4 Sb 3.26, 4 Zn 3.26

## Properties
uncorrected formation energy: -572 meV per atom
E_tot: -4.293 eV per atom
SG: No. 216

The following is a DFT calculation (GGA-PBE) of an optimized crystal structure of Nd5SnSb4.

Lattice parameters (Å, degrees): 6.3969 7.8348 7.8348 80.41 65.91 65.91
Last column: nearest neighbours and their distance in Å.
Element x y z (fractional)
1 Nd 0.8997 0.4033 0.7993  5 Sb 3.17-3.20, 1 Sn 3.22
2 Nd 0.3030 0.7993 0.5967  5 Sb 3.17-3.20, 1 Sn 3.22
3 Nd 0.6990 0.2007 0.4033  5 Sb 3.17-3.20, 1 Sn 3.22
4 Nd 0.1022 0.5967 0.2007  5 Sb 3.17-3.20, 1 Sn 3.22
5 Nd 0.5013 0.0000 0.0000  2 Sn 3.20, 4 Sb 3.20
6 Sn 0.0013 0.0000 0.0000  6 Nd 3.20-3.22
7 Sb 0.4013 0.3999 0.7994  6 Nd 3.17-3.20
8 Sb 0.8012 0.7994 0.6001  6 Nd 3.17-3.20
9 Sb 0.2007 0.2006 0.3999  6 Nd 3.17-3.20
10 Sb 0.6006 0.6001 0.2006  6 Nd 3.17-3.20

## Properties
uncorrected formation energy: -1060 meV per atom
E_tot: -5.493 eV per atom
SG: No. 87

The following is a DFT calculation (GGA-PBE) of an optimized crystal structure of Nd6SnSb3.

Lattice parameters (Å, degrees): 7.9071 9.5560 9.5560 106.28 90.00 90.00
Last column: nearest neighbours and their distance in Å.
Element x y z (fractional)
1 Nd 0.1514 0.7232 0.6309  4 Sb 3.12-3.23
2 Nd 0.6514 0.6309 0.7232  4 Sb 3.12-3.23
3 Nd 0.2379 0.4547 0.9086  3 Sb 3.17-3.22, 1 Sn 3.24
4 Nd 0.7379 0.9086 0.4547  3 Sb 3.17-3.22, 1 Sn 3.24
5 Nd 0.2557 0.9991 0.0009  4 Sb 3.19-3.39, 2 Sn 3.19-3.26
6 Nd 0.6343 0.2493 0.7507  1 Sn 3.16, 3 Sb 3.27-3.42
7 Nd 0.1343 0.7507 0.2493  1 Sn 3.16, 3 Sb 3.27-3.42
8 Nd 0.7557 0.0009 0.9991  4 Sb 3.19-3.39, 2 Sn 3.19-3.26
9 Nd 0.2379 0.0914 0.5453  3 Sb 3.17-3.22, 1 Sn 3.24
10 Nd 0.7379 0.5453 0.0914  3 Sb 3.17-3.22, 1 Sn 3.24
11 Nd 0.1514 0.3691 0.2768  4 Sb 3.12-3.23
12 Nd 0.6514 0.2768 0.3691  4 Sb 3.12-3.23
13 Sn 0.0003 0.1667 0.8333  5 Nd 3.16-3.26
14 Sn 0.5003 0.8333 0.1667  5 Nd 3.16-3.26
15 Sb 0.4827 0.9231 0.7138  7 Nd 3.12-3.39
16 Sb 0.9827 0.7138 0.9231  7 Nd 3.12-3.39
17 Sb 0.3511 0.4187 0.5813  7 Nd 3.17-3.42
18 Sb 0.8511 0.5813 0.4187  7 Nd 3.17-3.42
19 Sb 0.9827 0.0769 0.2862  7 Nd 3.12-3.39
20 Sb 0.4827 0.2862 0.0769  7 Nd 3.12-3.39

## Properties
uncorrected formation energy: -734 meV per atom
E_tot: -5.232 eV per atom
SG: No. 36

Q: Among the records above, which one has the highest E_tot?
A: NdSmZnSb